1.
Sm3Ni2Hg | GGA-PBE | optimized geometry

Results
Space group: Pmc2_1, No. 26
Energy of formation from the pure elements, eV per atom: -0.347
Crystal system: orthorhombic
Volume, Å³ per atom: 24.0

Cell: 4.124 9.489 7.366 Å, 90.00 90.00 90.00°
Fractional coordinates of all 12 atoms:
Sm: 0.000 0.055 0.000
Sm: 0.000 0.945 0.500
Sm: 0.500 0.256 0.383
Sm: 0.500 0.342 0.858
Sm: 0.500 0.658 0.358
Sm: 0.500 0.744 0.883
Ni: 0.000 0.214 0.650
Ni: 0.000 0.786 0.150
Ni: 0.500 0.058 0.720
Ni: 0.500 0.942 0.220
Hg: 0.000 0.477 0.130
Hg: 0.000 0.523 0.630


2.
Sm4NiHg | GGA-PBE | optimized geometry

Results
Polymorph energy (0 for the lowest one), meV per atom: 0.0
Space group: F-43m, No. 216
Energy of formation from the pure elements, eV per atom: -0.309
Crystal system: cubic
Volume, Å³ per atom: 27.0

Cell: 9.718 9.718 9.718 Å, 60.00 60.00 60.00°
Fractional coordinates of all 24 atoms:
Sm: 0.059 0.059 0.441
Sm: 0.059 0.441 0.059
Sm: 0.059 0.441 0.441
Sm: 0.187 0.187 0.813
Sm: 0.187 0.813 0.187
Sm: 0.187 0.813 0.813
Sm: 0.201 0.600 0.600
Sm: 0.441 0.059 0.059
Sm: 0.441 0.059 0.441
Sm: 0.441 0.441 0.059
Sm: 0.600 0.201 0.600
Sm: 0.600 0.600 0.201
Sm: 0.600 0.600 0.600
Sm: 0.813 0.187 0.187
Sm: 0.813 0.187 0.813
Sm: 0.813 0.813 0.187
Ni: 0.393 0.393 0.393
Ni: 0.393 0.393 0.822
Ni: 0.393 0.822 0.393
Ni: 0.822 0.393 0.393
Hg: 0.497 0.834 0.834
Hg: 0.834 0.497 0.834
Hg: 0.834 0.834 0.497
Hg: 0.834 0.834 0.834